The following is a DFT calculation (SCAN) of YNbGe3 at its PBEsol-relaxed geometry.

Summary:
As for the electronic total energy: -112.19 eV/f.u. The density of states at the Fermi level comes out at 0.843 states/eV/atom. For the calculated formation energy, the calculation gives 1.210 eV per atom. The space-group type is Pm-3m (221).

Cell and atoms, written as POSCAR:
```
YNbGe3
1.0
5.100 0.000 0.000
0.000 5.100 0.000
0.000 0.000 5.100
Y Nb Ge
1 1 3
direct
0.000 0.000 0.000
0.500 0.500 0.500
0.000 0.500 0.000
0.000 0.000 0.500
0.500 0.000 0.000
```